PBE-GGA SrMg2Pd, optimized geometry; ΔH_f (0 K) = -0.47 eV/atom; density = 3.94 g/cm3
1.0
4.360 0.001 0.000
-2.178 5.658 0.000
0.000 0.000 8.289
Mg Sr Pd
4 2 2
Direct
0.165 0.329 0.559
0.835 0.671 0.059
0.165 0.329 0.941
0.835 0.671 0.441
0.554 0.108 0.250
0.446 0.892 0.750
0.729 0.458 0.750
0.271 0.542 0.250

=====

PBE-GGA K2ZrCl, optimized geometry; density = 2.00 g/cm3; formation energy from raw total energies = 0.42 eV per atom; distance to the lowest polymorph of the same formula = 0.702 eV per atom
1.0
0.000 4.397 4.397
4.397 0.000 4.397
4.397 4.397 0.000
Cl Zr K
1 1 2
Direct
0.000 0.000 0.000
0.500 0.500 0.500
0.750 0.750 0.750
0.250 0.250 0.250

=====

PBE-GGA AgCCl2, optimized geometry; density = 3.20 g/cm3; formation energy from raw total energies = 1.24 eV per atom; distance to the lowest polymorph of the same formula = 0.042 eV per atom
1.0
-0.342 -3.318 6.958
-1.601 -6.090 4.459
2.260 -5.479 4.940
C Ag Cl
1 1 2
Direct
0.000 0.000 0.000
0.500 0.500 0.500
0.098 0.098 0.098
0.902 0.902 0.902

=====

PBE-GGA Ti2InH, optimized geometry; density = 6.05 g/cm3; distance to the lowest polymorph of the same formula = 0.000 eV per atom
1.0
-0.746 2.970 -0.266
-2.955 0.837 -0.123
-1.358 1.871 6.941
In Ti H
1 2 1
Direct
0.000 0.000 0.000
0.220 0.220 0.340
0.780 0.780 0.660
0.500 0.500 0.500

=====

> Which formula does entry 3 have?

AgCCl2